# GGA-PBE Y2PaSe5, relaxed
# - energy above the most stable polymorph in this dataset (meV per atom) = 208.4
# - volume (Å³ per atom) = 25.690
# - formation energy from raw total energies (eV per formula unit) = -11.393
# - total energy (eV for the cell shown) = -205.0
data_Y2PaSe5
_cell_length_a 5.6056
_cell_length_b 9.6023
_cell_length_c 15.2727
_cell_angle_alpha 90.00
_cell_angle_beta 90.00
_cell_angle_gamma 90.00
_symmetry_space_group_name_H-M 'F m m m'
_symmetry_Int_Tables_number 69
_symmetry_space_group_name_Hall '-F 2 2'
loop_
_atom_site_label
_atom_site_type_symbol
_atom_site_fract_x
_atom_site_fract_y
_atom_site_fract_z
Y1 Y 0.0000 0.0000 0.1813
Pa1 Pa 0.0000 0.0000 0.5000
Se1 Se 0.0000 0.0000 0.0000
Se2 Se 0.0000 0.1649 0.3462

***

# GGA-PBE UBiS2O, relaxed
# - volume (Å³ per atom) = 19.872
# - formation energy from raw total energies (eV per formula unit) = -7.168
# - total energy (eV for the cell shown) = -71.1
data_UBiS2O
_cell_length_a 3.8096
_cell_length_b 3.8096
_cell_length_c 13.6924
_cell_angle_alpha 90.00
_cell_angle_beta 90.00
_cell_angle_gamma 90.00
_symmetry_space_group_name_H-M 'P 4/n m m'
_symmetry_Int_Tables_number 129
loop_
_symmetry_equiv_pos_as_xyz
'x,y,z'
'-x,-y,-z'
'-y+1/2,x,z'
'y+1/2,-x,-z'
'-x+1/2,-y+1/2,z'
'x+1/2,y+1/2,-z'
'y,-x+1/2,z'
'-y,x+1/2,-z'
'x+1/2,-y,-z'
'-x+1/2,y,z'
'-y,-x,-z'
'y,x,z'
'-x,y+1/2,-z'
'x,-y+1/2,z'
'y+1/2,x+1/2,-z'
'-y+1/2,-x+1/2,z'
loop_
_atom_site_label
_atom_site_type_symbol
_atom_site_fract_x
_atom_site_fract_y
_atom_site_fract_z
U1 U 0.2500 0.2500 0.0982
Bi1 Bi 0.2500 0.2500 0.6091
S1 S 0.2500 0.2500 0.3231
S2 S 0.2500 0.2500 0.8217
O1 O 0.2500 0.7500 0.0000

***

# GGA-PBE ReRhNF2, relaxed
# - energy above the most stable polymorph in this dataset (meV per atom) = 0.0
# - volume (Å³ per atom) = 13.255
# - formation energy from raw total energies (eV per formula unit) = 0.478
# - total energy (eV for the cell shown) = -31.4
data_ReRhNF2
_cell_length_a 4.1555
_cell_length_b 4.1555
_cell_length_c 3.8379
_cell_angle_alpha 90.00
_cell_angle_beta 90.00
_cell_angle_gamma 90.00
_symmetry_space_group_name_H-M 'P 4/m m m'
_symmetry_Int_Tables_number 123
_symmetry_space_group_name_Hall '-P 4 2'
loop_
_atom_site_label
_atom_site_type_symbol
_atom_site_fract_x
_atom_site_fract_y
_atom_site_fract_z
Re1 Re 0.0000 0.0000 0.0000
Rh1 Rh 0.5000 0.5000 0.5000
N1 N 0.0000 0.0000 0.5000
F1 F 0.0000 0.5000 0.0000

***

# GGA-PBE Li2FeMo, relaxed
# - energy above the most stable polymorph in this dataset (meV per atom) = 182.0
# - volume (Å³ per atom) = 14.246
# - ΔH_f (0 K) (eV/atom) = 0.413
# - total energy (eV for the cell shown) = -21.5
data_Li2FeMo
_cell_length_a 2.5101
_cell_length_b 2.5101
_cell_length_c 9.0448
_cell_angle_alpha 90.00
_cell_angle_beta 90.00
_cell_angle_gamma 90.00
_symmetry_space_group_name_H-M 'P 4/m m m'
_symmetry_Int_Tables_number 123
_symmetry_space_group_name_Hall '-P 4 2'
loop_
_atom_site_label
_atom_site_type_symbol
_atom_site_fract_x
_atom_site_fract_y
_atom_site_fract_z
Li1 Li 0.0000 0.0000 0.2371
Fe1 Fe 0.5000 0.5000 0.0000
Mo1 Mo 0.5000 0.5000 0.5000

***

# GGA-PBE LiMg2WN4, relaxed
# - volume (Å³ per atom) = 12.154
# - formation energy from raw total energies (eV per formula unit) = -4.827
# - total energy (eV for the cell shown) = -112.4
data_LiMg2WN4
_cell_length_a 7.3441
_cell_length_b 6.1538
_cell_length_c 4.3027
_cell_angle_alpha 90.00
_cell_angle_beta 90.00
_cell_angle_gamma 90.00
_symmetry_space_group_name_H-M 'P m n 21'
_symmetry_Int_Tables_number 31
loop_
_symmetry_equiv_pos_as_xyz
'x,y,z'
'-x+1/2,-y,z+1/2'
'-x,y,z'
'x+1/2,-y,z+1/2'
loop_
_atom_site_label
_atom_site_type_symbol
_atom_site_fract_x
_atom_site_fract_y
_atom_site_fract_z
Li1 Li 0.0000 0.1716 0.0000
Mg1 Mg 0.2349 0.3289 0.5019
W1 W 0.0000 0.8299 0.5459
N1 N 0.0000 0.1373 0.4908
N2 N 0.0000 0.8281 0.9876
N3 N 0.2238 0.6749 0.4926

***

# GGA-PBE Sm4BiAs3, relaxed
# - volume (Å³ per atom) = 28.208
# - ΔH_f (0 K) (eV/atom) = -1.360
# - total energy (eV for the cell shown) = -95.2
data_Sm4BiAs3
_cell_length_a 4.2597
_cell_length_b 4.2597
_cell_length_c 28.7206
_cell_angle_alpha 90.00
_cell_angle_beta 90.00
_cell_angle_gamma 120.00
_symmetry_space_group_name_H-M 'P 63/m m c'
_symmetry_Int_Tables_number 194
_symmetry_space_group_name_Hall '-P 6c 2c'
loop_
_atom_site_label
_atom_site_type_symbol
_atom_site_fract_x
_atom_site_fract_y
_atom_site_fract_z
Sm1 Sm 0.0000 0.0000 0.1757
Sm2 Sm 0.3333 0.6667 0.0586
Bi1 Bi 0.3333 0.6667 0.2500
As1 As 0.0000 0.0000 0.0000
As2 As 0.3333 0.6667 0.6195

***

# GGA-PBE La4HSe5, relaxed
# - volume (Å³ per atom) = 30.767
# - total energy (eV for the cell shown) = -113.6
data_La4HSe5
_cell_length_a 19.9350
_cell_length_b 4.2376
_cell_length_c 7.9225
_cell_angle_alpha 90.00
_cell_angle_beta 113.16
_cell_angle_gamma 90.00
_symmetry_space_group_name_H-M 'C 1 2/m 1'
_symmetry_Int_Tables_number 12
loop_
_symmetry_equiv_pos_as_xyz
'x,y,z'
'-x,-y,-z'
'-x,y,-z'
'x,-y,z'
'x+1/2,y+1/2,z'
'-x+1/2,-y+1/2,-z'
'-x+1/2,y+1/2,-z'
'x+1/2,-y+1/2,z'
loop_
_atom_site_label
_atom_site_type_symbol
_atom_site_fract_x
_atom_site_fract_y
_atom_site_fract_z
La1 La 0.0000 0.0000 0.2472
La2 La 0.2194 0.5000 0.2197
H1 H 0.0000 0.5000 0.0000
Se1 Se 0.0000 0.5000 0.5000
Se2 Se 0.1624 0.0000 0.3995
Se3 Se 0.1623 0.0000 0.9271

***

# GGA-PBE YFeH6, relaxed
# - volume (Å³ per atom) = 7.446
# - total energy (eV for the cell shown) = -110.4
data_YFeH6
_cell_length_a 4.3955
_cell_length_b 4.3955
_cell_length_c 10.6812
_cell_angle_alpha 90.00
_cell_angle_beta 90.00
_cell_angle_gamma 120.00
_symmetry_space_group_name_H-M 'R -3 m'
_symmetry_Int_Tables_number 166
_symmetry_space_group_name_Hall '-R 3 2"'
loop_
_atom_site_label
_atom_site_type_symbol
_atom_site_fract_x
_atom_site_fract_y
_atom_site_fract_z
Y1 Y 0.0000 0.0000 0.0000
Fe1 Fe 0.0000 0.0000 0.5000
H1 H 0.0203 0.5102 0.9077

***

# GGA-PBE PmHo6Te8, relaxed
# - energy above the most stable polymorph in this dataset (meV per atom) = 0.0
# - volume (Å³ per atom) = 30.524
# - formation energy from raw total energies (eV per formula unit) = -20.225
# - total energy (eV for the cell shown) = -310.3
data_PmHo6Te8
_cell_length_a 12.2348
_cell_length_b 12.2348
_cell_length_c 12.2348
_cell_angle_alpha 90.00
_cell_angle_beta 90.00
_cell_angle_gamma 90.00
_symmetry_space_group_name_H-M 'F m -3 m'
_symmetry_Int_Tables_number 225
_symmetry_space_group_name_Hall '-F 4 2 3'
loop_
_atom_site_label
_atom_site_type_symbol
_atom_site_fract_x
_atom_site_fract_y
_atom_site_fract_z
Pm1 Pm 0.0000 0.0000 0.0000
Ho1 Ho 0.0000 0.2500 0.2500
Te1 Te 0.0000 0.0000 0.2609
Te2 Te 0.2500 0.2500 0.2500

***

# GGA-PBE CsTl2Au, relaxed
# - volume (Å³ per atom) = 38.062
# - ΔH_f (0 K) (eV/atom) = -0.124
# - total energy (eV for the cell shown) = -28.1
data_CsTl2Au
_cell_length_a 4.7048
_cell_length_b 4.7048
_cell_length_c 23.8267
_cell_angle_alpha 90.00
_cell_angle_beta 90.00
_cell_angle_gamma 120.00
_symmetry_space_group_name_H-M 'R 3 m'
_symmetry_Int_Tables_number 160
_symmetry_space_group_name_Hall 'R 3 -2"'
loop_
_atom_site_label
_atom_site_type_symbol
_atom_site_fract_x
_atom_site_fract_y
_atom_site_fract_z
Cs1 Cs 0.0000 0.0000 0.0000
Tl1 Tl 0.0000 0.0000 0.5494
Tl2 Tl 0.0000 0.0000 0.7816
Au1 Au 0.0000 0.0000 0.1669

***

# GGA-PBE ReAgAs2, relaxed
# - energy above the most stable polymorph in this dataset (meV per atom) = 756.1
# - volume (Å³ per atom) = 17.068
# - ΔH_f (0 K) (eV/atom) = 0.907
# - total energy (eV for the cell shown) = -83.9
data_ReAgAs2
_cell_length_a 6.4879
_cell_length_b 6.4879
_cell_length_c 6.4879
_cell_angle_alpha 90.00
_cell_angle_beta 90.00
_cell_angle_gamma 90.00
_symmetry_space_group_name_H-M 'F -4 3 m'
_symmetry_Int_Tables_number 216
_symmetry_space_group_name_Hall 'F -4 2 3'
loop_
_atom_site_label
_atom_site_type_symbol
_atom_site_fract_x
_atom_site_fract_y
_atom_site_fract_z
Re1 Re 0.0000 0.0000 0.0000
Ag1 Ag 0.2500 0.2500 0.7500
As1 As 0.0000 0.0000 0.5000
As2 As 0.2500 0.2500 0.2500

***

# GGA-PBE RbAgMo, relaxed
# - energy above the most stable polymorph in this dataset (meV per atom) = 0.0
# - volume (Å³ per atom) = 30.396
# - ΔH_f (0 K) (eV/atom) = 0.731
# - total energy (eV for the cell shown) = -49.8
data_RbAgMo
_cell_length_a 9.6634
_cell_length_b 3.2571
_cell_length_c 11.5890
_cell_angle_alpha 90.00
_cell_angle_beta 90.00
_cell_angle_gamma 90.00
_symmetry_space_group_name_H-M 'P n m a'
_symmetry_Int_Tables_number 62
loop_
_symmetry_equiv_pos_as_xyz
'x,y,z'
'-x,-y,-z'
'-x+1/2,-y,z+1/2'
'x+1/2,y,-z+1/2'
'x+1/2,-y+1/2,-z+1/2'
'-x+1/2,y+1/2,z+1/2'
'-x,y+1/2,-z'
'x,-y+1/2,z'
loop_
_atom_site_label
_atom_site_type_symbol
_atom_site_fract_x
_atom_site_fract_y
_atom_site_fract_z
Rb1 Rb 0.0850 0.2500 0.1752
Ag1 Ag 0.2462 0.2500 0.9040
Mo1 Mo 0.0727 0.2500 0.5375

***

no.,total moment (μB/atom)
1,0.05
2,0.40
3,0.35
4,0.54
5,0.00
6,0.00
7,0.00
8,0.13
9,0.00
10,0.00
11,0.00
12,0.00